# BaSr2Fe | Alexandria | PBE | relaxed
# energy: -20.6 eV/cell
# calculated formation energy: 864 meV/atom
# space group: No. 141
# crystal system: tetragonal
# ΔE to the lowest computed polymorph: 0.4378 eV per atom
# density: 3061 kg/m³
data_BaSr2Fe
_space_group_name_H-M_alt 'P 1'
_space_group_IT_number 1
_cell_length_a 8.279
_cell_length_b 8.279
_cell_length_c 8.279
_cell_angle_alpha 120.24
_cell_angle_beta 120.24
_cell_angle_gamma 89.59
loop_
_space_group_symop_operation_xyz
'x,y,z'
loop_
_atom_site_label
_atom_site_type_symbol
_atom_site_fract_x
_atom_site_fract_y
_atom_site_fract_z
_atom_site_occupancy
Ba1 Ba 0.375 0.625 0.750 1
Ba2 Ba 0.625 0.375 0.250 1
Sr1 Sr 0.000 0.000 0.000 1
Sr2 Sr 0.000 0.000 0.500 1
Sr3 Sr 0.000 0.500 0.000 1
Sr4 Sr 0.500 0.000 0.500 1
Fe1 Fe 0.125 0.875 0.250 1
Fe2 Fe 0.875 0.125 0.750 1